A relaxed PrH8Ir2 crystal, computed with PBE.

Results
Symmetry: No. 139
V, Å³ per atom: 9.169
Total energy, eV per atom: -4.567
Density, Mg/m³: 8.782

Lattice parameters (Å, degrees): 4.4671 4.4671 5.9601 112.01 112.01 90.00
With the nearest neighbours (Å) after each atom.
Fractional coordinates of all 11 atoms:
H  0.9372  0.3838  0.3210  2 Ir 1.83, 3 H 1.84-2.00
H  0.0628  0.0628  0.6790  2 Ir 1.83, 3 H 1.84-2.00
H  0.6162  0.0628  0.6790  2 Ir 1.83, 3 H 1.84-2.00
H  0.6162  0.6162  0.6790  2 Ir 1.83, 3 H 1.84-2.00
H  0.3838  0.3838  0.3210  2 Ir 1.83, 3 H 1.84-2.00
Ir  0.2500  0.7500  0.5000  8 H 1.83
H  0.3838  0.9372  0.3210  2 Ir 1.83, 3 H 1.84-2.00
H  0.0628  0.6162  0.6790  2 Ir 1.83, 3 H 1.84-2.00
H  0.9372  0.9372  0.3210  2 Ir 1.83, 3 H 1.84-2.00
Ir  0.7500  0.2500  0.5000  8 H 1.83
Pr  0.5000  0.5000  0.0000  8 H 2.38

=====

A relaxed Pr2HIr crystal, computed with PBE.

Results
Symmetry: No. 160
V, Å³ per atom: 24.367
Energy above the most stable polymorph in this dataset, eV per formula unit: 0.56
Total energy, eV per atom: -5.801
Density, Mg/m³: 8.093

Lattice parameters (Å, degrees): 4.0079 4.0079 7.3787 74.24 74.24 60.00
With the nearest neighbours (Å) after each atom.
Fractional coordinates of all 4 atoms:
Ir  0.6679  0.6679  0.9964  6 Pr 2.84-2.85
Pr  0.2565  0.2565  0.2306  3 Ir 2.84, 3 H 3.05
Pr  0.0804  0.0804  0.7589  3 Ir 2.85, 3 H 2.88
H  0.4953  0.4953  0.5141  6 Pr 2.88-3.05

=====

Q: The lowest density belongs to which entry?
A: Pr2HIr